Material: MgAl2Zn
Method: DFT, GGA-PBEsol
State: relaxed Values from VASP.

Structure (Quantum ESPRESSO input):
```
&SYSTEM
  ibrav = 0, nat = 4, ntyp = 3
/
ATOMIC_SPECIES
Al 26.98 Al.upf
Mg 24.30 Mg.upf
Zn 65.41 Zn.upf
CELL_PARAMETERS angstrom
2.998 0.000 0.000
0.000 4.864 -0.007
-1.499 -0.928 4.680
ATOMIC_POSITIONS crystal
Al 0.742 0.741 0.484
Al 0.258 0.259 0.516
Mg 0.500 0.000 0.000
Zn 0.000 0.500 0.000
```

## Properties
* VASP energy: -11.4 eV for the cell shown
* SG: No. 12
* formation energy from the elements: 23 meV per atom
* D(E_F): 0.3479 states/eV/atom
* V: 17.06 A^3/atom
* density: 3.5 Mg/m³


Material: MgAl2Zn
Method: DFT, GGA-PBEsol
State: relaxed Values from VASP.

Structure (Quantum ESPRESSO input):
```
&SYSTEM
  ibrav = 0, nat = 4, ntyp = 3
/
ATOMIC_SPECIES
Zn 65.41 Zn.upf
Al 26.98 Al.upf
Mg 24.30 Mg.upf
CELL_PARAMETERS angstrom
4.009 0.000 0.000
0.000 4.009 0.000
-2.005 -2.005 4.245
ATOMIC_POSITIONS crystal
Zn 0.000 0.000 0.000
Al 0.750 0.250 0.500
Al 0.250 0.750 0.500
Mg 0.500 0.500 0.000
```

## Properties
* VASP energy: -11.4 eV for the cell shown
* SG: No. 139
* formation energy from the elements: 15 meV per atom
* D(E_F): 0.3866 states/eV/atom
* V: 17.06 A^3/atom
* density: 3.5 Mg/m³


Material: Mg16Al12Zn
Method: DFT, GGA-PBEsol
State: relaxed Values from VASP.

Structure (Quantum ESPRESSO input):
```
&SYSTEM
  ibrav = 0, nat = 29, ntyp = 3
/
ATOMIC_SPECIES
Al 26.98 Al.upf
Mg 24.30 Mg.upf
Zn 65.41 Zn.upf
CELL_PARAMETERS angstrom
8.994 0.000 0.005
-2.968 8.490 0.005
-2.970 -4.184 7.389
ATOMIC_POSITIONS crystal
Al 0.632 0.817 0.632
Al 0.177 0.360 0.991
Al 0.634 0.634 0.823
Al 0.999 0.185 0.365
Al 0.185 0.999 0.365
Al 0.360 0.177 0.991
Al 0.996 0.367 0.182
Al 0.808 0.180 0.812
Al 0.367 0.996 0.182
Al 0.180 0.808 0.812
Al 0.817 0.632 0.632
Al 0.813 0.813 0.188
Mg 0.363 0.363 0.338
Mg 0.650 0.999 0.003
Mg 0.002 0.002 0.003
Mg 0.998 0.400 0.681
Mg 0.406 0.675 0.006
Mg 0.996 0.996 0.652
Mg 0.675 0.406 0.006
Mg 0.001 0.683 0.400
Mg 0.707 0.320 0.313
Mg 0.286 0.597 0.599
Mg 0.597 0.286 0.599
Mg 0.320 0.707 0.313
Mg 0.683 0.001 0.400
Mg 0.400 0.998 0.681
Mg 0.311 0.311 0.709
Mg 0.999 0.650 0.003
Zn 0.637 0.637 0.319
```

## Properties
* VASP energy: -78.6 eV for the cell shown
* SG: No. 8
* formation energy from the elements: -15 meV per atom
* D(E_F): 0.3740 states/eV/atom
* energy above the most stable polymorph in this dataset: 0.00 eV per formula unit
* V: 19.47 A^3/atom
* density: 2.3 Mg/m³


Material: MgAlZn
Method: DFT, GGA-PBEsol
State: relaxed Values from VASP.

Structure (Quantum ESPRESSO input):
```
&SYSTEM
  ibrav = 0, nat = 3, ntyp = 3
/
ATOMIC_SPECIES
Al 26.98 Al.upf
Mg 24.30 Mg.upf
Zn 65.41 Zn.upf
CELL_PARAMETERS angstrom
-2.012 3.149 -2.181
-3.937 1.309 1.229
-0.517 3.895 1.810
ATOMIC_POSITIONS crystal
Al 0.000 0.000 0.000
Mg 0.500 0.500 0.500
Zn 0.250 0.250 0.250
```

## Properties
* VASP energy: -7.3 eV for the cell shown
* SG: No. 216
* formation energy from the elements: 18 meV per atom
* D(E_F): 0.3324 states/eV/atom
* energy above the most stable polymorph in this dataset: 0.11 eV per formula unit
* V: 19.09 A^3/atom
* density: 3.4 Mg/m³


Material: Mg16Al12Zn
Method: DFT, GGA-PBEsol
State: relaxed Values from VASP.

Structure (Quantum ESPRESSO input):
```
&SYSTEM
  ibrav = 0, nat = 29, ntyp = 3
/
ATOMIC_SPECIES
Al 26.98 Al.upf
Mg 24.30 Mg.upf
Zn 65.41 Zn.upf
CELL_PARAMETERS angstrom
-3.173 0.104 -8.467
8.535 -2.989 -0.016
-5.104 -5.484 5.065
ATOMIC_POSITIONS crystal
Al 0.814 0.000 0.632
Al 0.632 0.000 0.814
Al 0.817 0.186 0.186
Al 0.000 0.632 0.814
Al 0.632 0.814 0.000
Al 0.186 0.817 0.186
Al 0.368 0.183 0.368
Al 0.368 0.368 0.183
Al 0.814 0.632 0.000
Al 0.183 0.368 0.368
Al 0.000 0.814 0.632
Al 0.186 0.186 0.817
Mg 0.313 0.599 0.000
Mg 0.000 0.000 0.331
Mg 0.599 0.313 0.000
Mg 0.000 0.599 0.313
Mg 0.687 0.285 0.687
Mg 0.401 0.715 0.401
Mg 0.313 0.000 0.599
Mg 0.331 0.000 0.000
Mg 0.401 0.401 0.715
Mg 0.000 0.313 0.599
Mg 0.000 0.331 0.000
Mg 0.715 0.401 0.401
Mg 0.599 0.000 0.313
Mg 0.687 0.687 0.285
Mg 0.285 0.687 0.687
Mg 0.669 0.669 0.669
Zn 0.000 0.000 0.000
```

## Properties
* VASP energy: -78.1 eV for the cell shown
* SG: No. 217
* formation energy from the elements: 2 meV per atom
* D(E_F): 0.3940 states/eV/atom
* energy above the most stable polymorph in this dataset: 0.48 eV per formula unit
* V: 19.63 A^3/atom
* density: 2.3 Mg/m³


Material: MgAl2Zn
Method: DFT, GGA-PBEsol
State: relaxed Values from VASP.

Structure (Quantum ESPRESSO input):
```
&SYSTEM
  ibrav = 0, nat = 4, ntyp = 3
/
ATOMIC_SPECIES
Mg 24.30 Mg.upf
Al 26.98 Al.upf
Zn 65.41 Zn.upf
CELL_PARAMETERS angstrom
2.903 0.000 -0.086
0.000 4.423 0.000
-0.999 0.000 5.424
ATOMIC_POSITIONS crystal
Mg 0.500 0.500 0.000
Al 0.113 0.000 0.260
Al 0.887 0.000 0.740
Zn 0.000 0.500 0.500
```

## Properties
* VASP energy: -11.3 eV for the cell shown
* SG: No. 10
* formation energy from the elements: 48 meV per atom
* D(E_F): 0.3689 states/eV/atom
* V: 17.32 A^3/atom
* density: 3.4 Mg/m³


Material: MgAl2Zn
Method: DFT, GGA-PBEsol
State: relaxed Values from VASP.

Structure (Quantum ESPRESSO input):
```
&SYSTEM
  ibrav = 0, nat = 4, ntyp = 3
/
ATOMIC_SPECIES
Mg 24.30 Mg.upf
Zn 65.41 Zn.upf
Al 26.98 Al.upf
CELL_PARAMETERS angstrom
-1.108 -1.357 3.701
2.523 -3.198 -0.418
2.288 4.420 0.041
ATOMIC_POSITIONS crystal
Mg 0.500 0.500 0.000
Zn 0.250 0.750 0.500
Al 0.750 0.250 0.500
Al 0.000 0.000 0.000
```

## Properties
* VASP energy: -11.4 eV for the cell shown
* SG: No. 119
* formation energy from the elements: 12 meV per atom
* D(E_F): 0.4076 states/eV/atom
* V: 16.97 A^3/atom
* density: 3.5 Mg/m³


Material: MgAl2Zn
Method: DFT, GGA-PBEsol
State: relaxed Values from VASP.

Structure (Quantum ESPRESSO input):
```
&SYSTEM
  ibrav = 0, nat = 4, ntyp = 3
/
ATOMIC_SPECIES
Al 26.98 Al.upf
Mg 24.30 Mg.upf
Zn 65.41 Zn.upf
CELL_PARAMETERS angstrom
-0.288 -2.495 1.591
1.016 -2.180 -3.233
5.520 0.328 1.514
ATOMIC_POSITIONS crystal
Al 0.000 0.000 0.737
Al 0.000 0.000 0.263
Mg 0.500 0.500 0.000
Zn 0.500 0.500 0.500
```

## Properties
* VASP energy: -11.3 eV for the cell shown
* SG: No. 47
* formation energy from the elements: 40 meV per atom
* D(E_F): 0.3967 states/eV/atom
* V: 17.17 A^3/atom
* density: 3.5 Mg/m³


Material: Mg4AlZn
Method: DFT, GGA-PBEsol
State: relaxed Values from VASP.

Structure (Quantum ESPRESSO input):
```
&SYSTEM
  ibrav = 0, nat = 6, ntyp = 3
/
ATOMIC_SPECIES
Mg 24.30 Mg.upf
Al 26.98 Al.upf
Zn 65.41 Zn.upf
CELL_PARAMETERS angstrom
-1.735 5.107 1.642
-3.301 3.077 -3.380
-5.409 0.842 1.347
ATOMIC_POSITIONS crystal
Mg 0.375 0.875 0.375
Mg 0.875 0.375 0.375
Mg 0.375 0.375 0.375
Mg 0.375 0.375 0.875
Al 0.000 0.000 0.000
Zn 0.750 0.750 0.750
```

## Properties
* VASP energy: -11.0 eV for the cell shown
* SG: No. 216
* formation energy from the elements: 260 meV per atom
* D(E_F): 0.4243 states/eV/atom
* V: 21.12 A^3/atom
* density: 2.5 Mg/m³


Material: MgZr2Al
Method: DFT, GGA-PBEsol
State: relaxed Values from VASP.

Structure (Quantum ESPRESSO input):
```
&SYSTEM
  ibrav = 0, nat = 4, ntyp = 3
/
ATOMIC_SPECIES
Zr 91.22 Zr.upf
Al 26.98 Al.upf
Mg 24.30 Mg.upf
CELL_PARAMETERS angstrom
4.345 0.000 0.000
0.000 4.345 0.000
-2.173 -2.173 4.216
ATOMIC_POSITIONS crystal
Zr 0.250 0.750 0.500
Zr 0.750 0.250 0.500
Al 0.500 0.500 0.000
Mg 0.000 0.000 0.000
```

## Properties
* VASP energy: -24.7 eV for the cell shown
* SG: No. 139
* formation energy from the elements: -184 meV per atom
* D(E_F): 0.8897 states/eV/atom
* V: 19.90 A^3/atom
* density: 4.9 Mg/m³


Material: Mg16ZrAl12
Method: DFT, GGA-PBEsol
State: relaxed Values from VASP.

Structure (Quantum ESPRESSO input):
```
&SYSTEM
  ibrav = 0, nat = 29, ntyp = 3
/
ATOMIC_SPECIES
Mg 24.30 Mg.upf
Zr 91.22 Zr.upf
Al 26.98 Al.upf
CELL_PARAMETERS angstrom
8.901 -0.001 -0.001
-2.963 8.595 -0.017
-2.963 -4.256 7.467
ATOMIC_POSITIONS crystal
Mg 0.395 0.680 0.999
Mg 0.603 0.599 0.284
Mg 0.603 0.284 0.599
Mg 0.996 0.685 0.396
Mg 0.395 0.999 0.680
Mg 0.009 0.663 0.004
Mg 0.316 0.711 0.316
Mg 0.686 0.402 0.999
Mg 0.002 0.000 0.000
Mg 0.686 0.999 0.402
Mg 0.278 0.598 0.598
Mg 0.316 0.316 0.711
Mg 0.353 0.346 0.346
Mg 0.645 0.995 0.995
Mg 0.996 0.396 0.685
Mg 0.009 0.004 0.663
Zr 0.722 0.316 0.316
Al 0.376 0.008 0.191
Al 0.182 0.819 0.819
Al 0.812 0.177 0.815
Al 0.376 0.191 0.008
Al 0.812 0.815 0.177
Al 0.634 0.820 0.636
Al 0.817 0.626 0.626
Al 0.994 0.365 0.186
Al 0.181 0.999 0.365
Al 0.994 0.186 0.365
Al 0.181 0.365 0.999
Al 0.634 0.636 0.820
```

## Properties
* VASP energy: -86.6 eV for the cell shown
* SG: No. 8
* formation energy from the elements: -34 meV per atom
* D(E_F): 0.4381 states/eV/atom
* energy above the most stable polymorph in this dataset: 0.27 eV per formula unit
* V: 19.67 A^3/atom
* density: 2.3 Mg/m³


Material: MgZrAl2
Method: DFT, GGA-PBEsol
State: relaxed Values from VASP.

Structure (Quantum ESPRESSO input):
```
&SYSTEM
  ibrav = 0, nat = 4, ntyp = 3
/
ATOMIC_SPECIES
Al 26.98 Al.upf
Zr 91.22 Zr.upf
Mg 24.30 Mg.upf
CELL_PARAMETERS angstrom
-1.341 -0.748 -3.782
2.746 -3.167 -0.347
-2.871 -2.658 1.544
ATOMIC_POSITIONS crystal
Al 0.000 0.500 0.000
Al 0.000 0.000 0.500
Zr 0.500 0.000 0.000
Mg 0.500 0.500 0.500
```

## Properties
* VASP energy: -20.5 eV for the cell shown
* SG: No. 123
* formation energy from the elements: -371 meV per atom
* D(E_F): 0.2890 states/eV/atom
* V: 18.05 A^3/atom
* density: 3.9 Mg/m³